[1]
Computed, not measured: a geometry-optimized Y3MgIn2AgAu2 structure at the PBE level of DFT.

Computed properties:
The space-group type is Amm2 (38). The total energy comes out at -4.622 eV/atom.

The structure in CIF format:
```
data_Y3MgIn2AgAu2
_cell_length_a 3.973
_cell_length_b 7.802
_cell_length_c 7.802
_cell_angle_alpha 120.51
_cell_angle_beta 90.00
_cell_angle_gamma 90.00
_symmetry_space_group_name_H-M 'P 1'
_symmetry_Int_Tables_number 1
_symmetry_space_group_name_Hall 'P 1'
loop_
_atom_site_label
_atom_site_fract_x
_atom_site_fract_y
_atom_site_fract_z
_atom_site_occupancy
In1 0.000 0.256 0.996 1
Y1 0.500 0.001 0.590 1
Ag1 0.500 0.992 0.992 1
Y2 0.500 0.590 0.001 1
Y3 0.500 0.408 0.408 1
Mg1 0.000 0.745 0.745 1
Au1 0.000 0.344 0.668 1
Au2 0.000 0.668 0.344 1
In2 0.000 0.996 0.256 1
```

[2]
Computed, not measured: a geometry-optimized NdSnPdPt structure at the PBE level of DFT.

Computed properties:
As for the polymorph energy (0 for the lowest one): 0.0 kJ/mol of atoms. The space-group type is P6_3mc (186).

The structure in CIF format:
```
data_NdSnPdPt
_cell_length_a 4.619
_cell_length_b 4.619
_cell_length_c 9.308
_cell_angle_alpha 90.00
_cell_angle_beta 90.00
_cell_angle_gamma 120.00
_symmetry_space_group_name_H-M 'P 1'
_symmetry_Int_Tables_number 1
_symmetry_space_group_name_Hall 'P 1'
loop_
_atom_site_label
_atom_site_fract_x
_atom_site_fract_y
_atom_site_fract_z
_atom_site_occupancy
Nd1 0.667 0.333 0.251 1
Sn1 0.000 0.000 0.497 1
Sn2 0.000 0.000 0.997 1
Pt1 0.333 0.667 0.416 1
Nd2 0.333 0.667 0.751 1
Pd1 0.333 0.667 0.085 1
Pt2 0.667 0.333 0.916 1
Pd2 0.667 0.333 0.585 1
```

[3]
Computed, not measured: a geometry-optimized YFeBiOs structure at the PBE level of DFT.

Computed properties:
As for the polymorph energy (0 for the lowest one): 0.0 kJ/mol of atoms. The space-group type is F-43m (216).

The structure in CIF format:
```
data_YFeBiOs
_cell_length_a 4.706
_cell_length_b 4.706
_cell_length_c 4.706
_cell_angle_alpha 60.00
_cell_angle_beta 60.00
_cell_angle_gamma 60.00
_symmetry_space_group_name_H-M 'P 1'
_symmetry_Int_Tables_number 1
_symmetry_space_group_name_Hall 'P 1'
loop_
_atom_site_label
_atom_site_fract_x
_atom_site_fract_y
_atom_site_fract_z
_atom_site_occupancy
Os1 0.250 0.250 0.250 1
Bi1 0.000 0.000 0.000 1
Fe1 0.750 0.750 0.750 1
Y1 0.500 0.500 0.500 1
```

[4]
Computed, not measured: a geometry-optimized Zr2Tl3W4N3 structure at the PBE level of DFT.

Computed properties:
The space-group type is C2/c (15). The total energy comes out at -8.445 eV/atom.

The structure in CIF format:
```
data_Zr2Tl3W4N3
_cell_length_a 5.681
_cell_length_b 5.681
_cell_length_c 14.200
_cell_angle_alpha 101.04
_cell_angle_beta 101.04
_cell_angle_gamma 59.86
_symmetry_space_group_name_H-M 'P 1'
_symmetry_Int_Tables_number 1
_symmetry_space_group_name_Hall 'P 1'
loop_
_atom_site_label
_atom_site_fract_x
_atom_site_fract_y
_atom_site_fract_z
_atom_site_occupancy
N1 0.500 0.000 0.500 1
W1 0.874 0.687 0.573 1
N2 0.341 0.819 0.000 1
W2 0.039 0.175 0.071 1
Tl1 0.945 0.055 0.750 1
Zr1 0.473 0.648 0.409 1
N3 0.181 0.659 0.500 1
W3 0.175 0.039 0.571 1
N4 0.659 0.181 0.000 1
Tl2 0.055 0.945 0.250 1
Tl3 0.421 0.218 0.254 1
N5 0.819 0.341 0.500 1
Tl4 0.218 0.421 0.754 1
Zr2 0.527 0.352 0.591 1
Zr3 0.648 0.473 0.909 1
W4 0.825 0.961 0.429 1
Tl5 0.579 0.782 0.746 1
W5 0.313 0.126 0.927 1
W6 0.126 0.313 0.427 1
W7 0.687 0.874 0.073 1
N6 0.000 0.500 0.000 1
W8 0.961 0.825 0.929 1
Zr4 0.352 0.527 0.091 1
Tl6 0.782 0.579 0.246 1
```

[5]
Computed, not measured: a geometry-optimized GdY2Al3Ge2Au structure at the PBE level of DFT.

Computed properties:
The space-group type is Amm2 (38). The total energy comes out at -5.321 eV/atom.

The structure in CIF format:
```
data_GdY2Al3Ge2Au
_cell_length_a 4.283
_cell_length_b 7.083
_cell_length_c 7.083
_cell_angle_alpha 120.08
_cell_angle_beta 90.00
_cell_angle_gamma 90.00
_symmetry_space_group_name_H-M 'P 1'
_symmetry_Int_Tables_number 1
_symmetry_space_group_name_Hall 'P 1'
loop_
_atom_site_label
_atom_site_fract_x
_atom_site_fract_y
_atom_site_fract_z
_atom_site_occupancy
Ge1 0.500 0.667 0.332 1
Ge2 0.500 0.332 0.667 1
Gd1 0.000 0.585 0.585 1
Al1 0.500 0.237 0.237 1
Au1 0.000 0.002 0.002 1
Y1 0.000 0.415 0.999 1
Y2 0.000 0.999 0.415 1
Al2 0.500 0.763 0.000 1
Al3 0.500 0.000 0.763 1
```

[6]
Computed, not measured: a geometry-optimized PuFePd structure at the PBE level of DFT.

Computed properties:
Its energy of formation is 0.9629 eV/atom. The space-group type is F-43m (216).

The structure in CIF format:
```
data_PuFePd
_cell_length_a 4.262
_cell_length_b 4.262
_cell_length_c 4.262
_cell_angle_alpha 60.00
_cell_angle_beta 60.00
_cell_angle_gamma 60.00
_symmetry_space_group_name_H-M 'P 1'
_symmetry_Int_Tables_number 1
_symmetry_space_group_name_Hall 'P 1'
loop_
_atom_site_label
_atom_site_fract_x
_atom_site_fract_y
_atom_site_fract_z
_atom_site_occupancy
Pu1 0.000 0.000 0.000 1
Fe1 0.750 0.750 0.750 1
Pd1 0.250 0.250 0.250 1
```

[7]
Computed, not measured: a geometry-optimized AlSi6PdAu structure at the PBE level of DFT.

Computed properties:
The space-group type is F-43m (216). The total energy comes out at -4.585 eV/atom.

The structure in CIF format:
```
data_AlSi6PdAu
_cell_length_a 6.024
_cell_length_b 6.024
_cell_length_c 6.024
_cell_angle_alpha 60.00
_cell_angle_beta 60.00
_cell_angle_gamma 60.00
_symmetry_space_group_name_H-M 'P 1'
_symmetry_Int_Tables_number 1
_symmetry_space_group_name_Hall 'P 1'
loop_
_atom_site_label
_atom_site_fract_x
_atom_site_fract_y
_atom_site_fract_z
_atom_site_occupancy
Si1 0.708 0.292 0.292 1
Si2 0.292 0.292 0.708 1
Si3 0.708 0.292 0.708 1
Si4 0.708 0.708 0.292 1
Si5 0.292 0.708 0.708 1
Al1 0.000 0.000 0.000 1
Pd1 0.750 0.750 0.750 1
Si6 0.292 0.708 0.292 1
Au1 0.250 0.250 0.250 1
```

[8]
Computed, not measured: a geometry-optimized ZnCoHgW structure at the PBE level of DFT.

Computed properties:
Its energy of formation is 0.6864 eV/atom. As for the polymorph energy (0 for the lowest one): 0.0 kJ/mol of atoms. The space-group type is F-43m (216).

The structure in CIF format:
```
data_ZnCoHgW
_cell_length_a 4.431
_cell_length_b 4.431
_cell_length_c 4.431
_cell_angle_alpha 60.00
_cell_angle_beta 60.00
_cell_angle_gamma 60.00
_symmetry_space_group_name_H-M 'P 1'
_symmetry_Int_Tables_number 1
_symmetry_space_group_name_Hall 'P 1'
loop_
_atom_site_label
_atom_site_fract_x
_atom_site_fract_y
_atom_site_fract_z
_atom_site_occupancy
Co1 0.750 0.750 0.750 1
Hg1 0.250 0.250 0.250 1
W1 0.500 0.500 0.500 1
Zn1 0.000 0.000 0.000 1
```

[9]
Computed, not measured: a geometry-optimized Ho4Co3Cu structure at the PBE level of DFT.

Computed properties:
Its energy of formation is -0.2249 eV/atom. The space-group type is Pm (6).

The structure in CIF format:
```
data_Ho4Co3Cu
_cell_length_a 5.561
_cell_length_b 3.924
_cell_length_c 7.190
_cell_angle_alpha 90.00
_cell_angle_beta 90.15
_cell_angle_gamma 90.00
_symmetry_space_group_name_H-M 'P 1'
_symmetry_Int_Tables_number 1
_symmetry_space_group_name_Hall 'P 1'
loop_
_atom_site_label
_atom_site_fract_x
_atom_site_fract_y
_atom_site_fract_z
_atom_site_occupancy
Co1 0.112 0.000 0.028 1
Co2 0.623 0.500 0.467 1
Cu1 0.377 0.000 0.537 1
Ho1 0.375 0.500 0.834 1
Ho2 0.125 0.500 0.311 1
Ho3 0.868 0.000 0.679 1
Ho4 0.632 0.000 0.180 1
Co3 0.887 0.500 0.965 1
```

[10]
Computed, not measured: a geometry-optimized CoCu2Sn2 structure at the PBE level of DFT.

Computed properties:
The space-group type is I4/mmm (139). The total energy comes out at -3.795 eV/atom.

The structure in CIF format:
```
data_CoCu2Sn2
_cell_length_a 6.173
_cell_length_b 6.173
_cell_length_c 6.173
_cell_angle_alpha 139.86
_cell_angle_beta 139.86
_cell_angle_gamma 58.06
_symmetry_space_group_name_H-M 'P 1'
_symmetry_Int_Tables_number 1
_symmetry_space_group_name_Hall 'P 1'
loop_
_atom_site_label
_atom_site_fract_x
_atom_site_fract_y
_atom_site_fract_z
_atom_site_occupancy
Sn1 0.250 0.750 0.500 1
Sn2 0.750 0.250 0.500 1
Cu1 0.605 0.605 0.000 1
Cu2 0.395 0.395 0.000 1
Co1 0.000 0.000 0.000 1
```

[11]
Computed, not measured: a geometry-optimized NaSiTe2AuS structure at the PBE level of DFT.

Computed properties:
The space-group type is Cmcm (63). The total energy comes out at -3.533 eV/atom.

The structure in CIF format:
```
data_NaSiTe2AuS
_cell_length_a 6.693
_cell_length_b 6.693
_cell_length_c 11.032
_cell_angle_alpha 90.00
_cell_angle_beta 90.00
_cell_angle_gamma 144.39
_symmetry_space_group_name_H-M 'P 1'
_symmetry_Int_Tables_number 1
_symmetry_space_group_name_Hall 'P 1'
loop_
_atom_site_label
_atom_site_fract_x
_atom_site_fract_y
_atom_site_fract_z
_atom_site_occupancy
Te1 0.648 0.352 0.518 1
Na1 0.710 0.290 0.250 1
Au1 0.404 0.596 0.250 1
Te2 0.352 0.648 0.482 1
S1 0.965 0.035 0.750 1
Si1 0.000 0.000 0.500 1
Au2 0.596 0.404 0.750 1
Te3 0.648 0.352 0.982 1
Te4 0.352 0.648 0.018 1
Na2 0.290 0.710 0.750 1
Si2 0.000 0.000 0.000 1
S2 0.035 0.965 0.250 1
```

[12]
Computed, not measured: a geometry-optimized NaLuNiSn structure at the PBE level of DFT.

Computed properties:
As for the polymorph energy (0 for the lowest one): 0.0 kJ/mol of atoms. The space-group type is F-43m (216).

The structure in CIF format:
```
data_NaLuNiSn
_cell_length_a 4.733
_cell_length_b 4.733
_cell_length_c 4.733
_cell_angle_alpha 60.00
_cell_angle_beta 60.00
_cell_angle_gamma 60.00
_symmetry_space_group_name_H-M 'P 1'
_symmetry_Int_Tables_number 1
_symmetry_space_group_name_Hall 'P 1'
loop_
_atom_site_label
_atom_site_fract_x
_atom_site_fract_y
_atom_site_fract_z
_atom_site_occupancy
Lu1 0.500 0.500 0.500 1
Ni1 0.250 0.250 0.250 1
Sn1 0.000 0.000 0.000 1
Na1 0.750 0.750 0.750 1
```